Arrangement 1

# CuPd4

A relaxed structure of CuPd4 (PBE, the Alexandria database).

Lattice parameters (Å, degrees): 2.7733 2.7733 19.2100 90.00 90.00 90.00
Last column: nearest neighbours and their distance in Å.
Space group I4/mmm (No. 139)
Unique sites:
Cu 0.0000 0.0000 0.0000 (multiplicity 2)  8 Pd 2.65, 4 Cu 2.77
Pd 0.0000 0.0000 0.1977 (multiplicity 4)  12 Pd 2.77-2.81
Pd 0.0000 0.0000 0.4073 (multiplicity 4)  4 Cu 2.65, 8 Pd 2.77-2.81

Arrangement 2

# CuPd4

A relaxed structure of CuPd4 (PBE, the Alexandria database).

Lattice parameters (Å, degrees): 5.2255 7.4776 4.0413 90.00 90.00 90.00
Last column: nearest neighbours and their distance in Å.
Space group Pbam (No. 55)
Unique sites:
Cu 0.0000 0.0000 0.0000 (multiplicity 2)  8 Pd 2.48-2.55
Pd 0.0934 0.3295 0.0000 (multiplicity 4)  2 Cu 2.48-2.51, 3 Pd 2.72-2.73
Pd 0.2379 0.5970 0.5000 (multiplicity 4)  2 Cu 2.55, 4 Pd 2.72-2.81

Of them, arrangement 2 has the lowest stability.

Arrangement 1

# Cu6Pd5

A relaxed structure of Cu6Pd5 (PBE, the Alexandria database).

Lattice parameters (Å, degrees): 7.4102 10.2685 4.5533 90.00 116.15 90.00
Last column: nearest neighbours and their distance in Å.
Space group C2/m (No. 12)
Unique sites:
Cu 0.1838 0.1305 0.1308 (multiplicity 8)  4 Cu 2.45-2.68, 6 Pd 2.58-2.74
Cu 0.1891 0.0000 0.6371 (multiplicity 4)  5 Cu 2.52-2.65, 5 Pd 2.56-2.64
Pd 0.0000 0.2175 0.5000 (multiplicity 4)  8 Cu 2.56-2.74, 2 Pd 2.70
Pd 0.0000 0.3584 0.0000 (multiplicity 4)  6 Cu 2.61-2.66, 5 Pd 2.70-2.91
Pd 0.0000 0.5000 0.5000 (multiplicity 2)  6 Cu 2.58-2.64, 4 Pd 2.70

Arrangement 2

# Cu6Pd5

A relaxed structure of Cu6Pd5 (PBE, the Alexandria database).

Lattice parameters (Å, degrees): 4.2375 12.6563 5.9055 90.00 90.00 90.00
Last column: nearest neighbours and their distance in Å.
Space group Cmmm (No. 65)
Unique sites:
Cu 0.0000 0.0000 0.2311 (multiplicity 4)  6 Pd 2.57-2.66, 1 Cu 2.73
Cu 0.0000 0.3442 0.2370 (multiplicity 8)  7 Pd 2.51-2.72, 1 Cu 2.80
Pd 0.0000 0.1682 0.5000 (multiplicity 4)  8 Cu 2.63-2.72
Pd 0.0000 0.1717 0.0000 (multiplicity 4)  8 Cu 2.55-2.59
Pd 0.0000 0.5000 0.5000 (multiplicity 2)  8 Cu 2.51-2.65

Of them, arrangement 1 has the lowest stability.

Arrangement 1

# Cu3Pd8

A relaxed structure of Cu3Pd8 (PBE, the Alexandria database).

Lattice parameters (Å, degrees): 8.0452 8.0452 9.6657 90.00 90.00 120.00
Last column: nearest neighbours and their distance in Å.
Space group R-3 (No. 148, hexagonal axes)
Unique sites:
Cu 0.0000 0.5000 0.0000 (multiplicity 9)  6 Pd 2.34-2.59
Pd 0.0000 0.0000 0.3638 (multiplicity 6)  3 Cu 2.34
Pd 0.0038 0.7950 0.1104 (multiplicity 18)  2 Cu 2.46-2.59, 3 Pd 2.70-2.71

Arrangement 2

# Cu3Pd8

A relaxed structure of Cu3Pd8 (PBE, the Alexandria database).

Lattice parameters (Å, degrees): 8.7640 3.8287 9.9127 90.00 104.84 90.00
Last column: nearest neighbours and their distance in Å.
Space group C2/m (No. 12)
Unique sites:
Cu 0.0000 0.0000 0.0000 (multiplicity 2)  12 Pd 2.73-2.77
Cu 0.0893 0.0000 0.6342 (multiplicity 4)  11 Pd 2.71-2.79, 1 Cu 2.72
Pd 0.0443 0.5000 0.8177 (multiplicity 4)  4 Cu 2.73-2.74, 8 Pd 2.75-2.77
Pd 0.1337 0.5000 0.4551 (multiplicity 4)  5 Cu 2.71-2.79, 7 Pd 2.71-2.77
Pd 0.1841 0.0000 0.2732 (multiplicity 4)  8 Pd 2.73-2.76, 4 Cu 2.74-2.78
Pd 0.2274 0.5000 0.0906 (multiplicity 4)  8 Pd 2.72-2.77, 4 Cu 2.74-2.79

Of them, arrangement 1 has the lowest stability.

Arrangement 1

# Cu13Pd2

A relaxed structure of Cu13Pd2 (PBE, the Alexandria database).

Lattice parameters (Å, degrees): 5.7259 5.8564 6.3742 68.64 69.81 83.78
Last column: nearest neighbours and their distance in Å.
Space group P-1 (No. 2)
Unique sites:
Cu 0.0000 0.0000 0.0000 (multiplicity 1)  10 Cu 2.57-2.62, 2 Pd 2.64
Cu 0.0692 0.7426 0.3972 (multiplicity 2)  10 Cu 2.54-2.73, 2 Pd 2.59-2.60
Cu 0.2027 0.1941 0.2019 (multiplicity 2)  10 Cu 2.51-2.69, 2 Pd 2.63-2.64
Cu 0.2686 0.9377 0.6001 (multiplicity 2)  11 Cu 2.54-2.62, 1 Pd 2.65
Cu 0.3400 0.6719 0.0004 (multiplicity 2)  10 Cu 2.55-2.69, 2 Pd 2.65-2.67
Cu 0.3950 0.3958 0.3966 (multiplicity 2)  10 Cu 2.54-2.69, 2 Pd 2.60
Cu 0.4719 0.1294 0.7974 (multiplicity 2)  11 Cu 2.51-2.67, 1 Pd 2.59
Pd 0.1384 0.4664 0.7929 (multiplicity 2)  11 Cu 2.59-2.67, 1 Pd 2.72

Arrangement 2

# Cu13Pd2

A relaxed structure of Cu13Pd2 (PBE, the Alexandria database).

Lattice parameters (Å, degrees): 6.7473 6.7473 18.1602 90.00 90.00 120.00
Last column: nearest neighbours and their distance in Å.
Space group R-3m (No. 166, hexagonal axes)
Unique sites:
Cu 0.0000 0.0000 0.0000 (multiplicity 3)  12 Cu 2.42-2.48
Cu 0.0857 0.5429 0.3113 (multiplicity 18)  8 Cu 2.48-2.64, 1 Pd 2.64
Cu 0.0913 0.5456 0.5588 (multiplicity 18)  7 Cu 2.39-2.64, 1 Pd 2.49
Pd 0.0000 0.0000 0.2338 (multiplicity 6)  9 Cu 2.49-2.69

Of them, arrangement 2 has the lowest stability.

Arrangement 1

# Cu5Pd6

A relaxed structure of Cu5Pd6 (PBE, the Alexandria database).

Lattice parameters (Å, degrees): 4.2181 12.6033 6.0019 90.00 90.00 90.00
Last column: nearest neighbours and their distance in Å.
Space group Cmmm (No. 65)
Unique sites:
Cu 0.0000 0.0000 0.0000 (multiplicity 2)  8 Pd 2.54-2.63
Cu 0.0000 0.3278 0.5000 (multiplicity 4)  8 Pd 2.57-2.60
Cu 0.0000 0.3310 0.0000 (multiplicity 4)  8 Pd 2.61-2.65
Pd 0.0000 0.1602 0.2558 (multiplicity 8)  7 Cu 2.54-2.64
Pd 0.0000 0.5000 0.2616 (multiplicity 4)  6 Cu 2.60-2.65, 1 Pd 2.86

Arrangement 2

# Cu5Pd6

A relaxed structure of Cu5Pd6 (PBE, the Alexandria database).

Lattice parameters (Å, degrees): 7.6835 9.8043 4.5297 90.00 112.35 90.00
Last column: nearest neighbours and their distance in Å.
Space group C2/m (No. 12)
Unique sites:
Cu 0.0000 0.0000 0.0000 (multiplicity 2)  6 Cu 2.60-2.65, 6 Pd 2.68-2.73
Cu 0.0000 0.1299 0.5000 (multiplicity 4)  5 Cu 2.55-2.65, 6 Pd 2.59-2.72
Cu 0.0000 0.2703 0.0000 (multiplicity 4)  6 Pd 2.56-2.64, 3 Cu 2.65
Pd 0.1931 0.5000 0.1630 (multiplicity 4)  5 Cu 2.60-2.73, 5 Pd 2.68-2.77
Pd 0.1948 0.3522 0.6629 (multiplicity 8)  5 Cu 2.56-2.72, 4 Pd 2.68-2.80

Of them, arrangement 2 has the lowest stability.

Arrangement 1

# Cu3Pd7

A relaxed structure of Cu3Pd7 (PBE, the Alexandria database).

Lattice parameters (Å, degrees): 14.0461 3.8435 5.5005 90.00 102.47 90.00
Last column: nearest neighbours and their distance in Å.
Space group C2/m (No. 12)
Unique sites:
Cu 0.0000 0.0000 0.0000 (multiplicity 2)  12 Pd 2.72-2.76
Cu 0.2002 0.0000 0.6002 (multiplicity 4)  10 Pd 2.68-2.79, 2 Cu 2.75
Pd 0.0000 0.0000 0.5000 (multiplicity 2)  8 Pd 2.72-2.76, 4 Cu 2.75
Pd 0.0987 0.5000 0.8039 (multiplicity 4)  8 Pd 2.72-2.77, 4 Cu 2.72-2.77
Pd 0.1036 0.5000 0.3059 (multiplicity 4)  5 Cu 2.68-2.75, 7 Pd 2.72-2.77
Pd 0.2016 0.0000 0.1078 (multiplicity 4)  5 Cu 2.69-2.79, 7 Pd 2.72-2.77

Arrangement 2

# Cu3Pd7

A relaxed structure of Cu3Pd7 (PBE, the Alexandria database).

Lattice parameters (Å, degrees): 7.6516 7.6516 5.9488 90.00 90.00 120.00
Last column: nearest neighbours and their distance in Å.
Space group P6_3mc (No. 186)
Unique sites:
Cu 0.2152 0.4305 0.0000 (multiplicity 6)  8 Pd 2.53-2.65, 2 Cu 2.71
Pd 0.0715 0.5357 0.6761 (multiplicity 6)  4 Cu 2.54-2.56, 2 Pd 2.67-2.84
Pd 0.1226 0.2452 0.3941 (multiplicity 6)  3 Cu 2.56-2.65, 3 Pd 2.81-2.82
Pd 0.3333 0.6667 0.3349 (multiplicity 2)  3 Cu 2.53, 6 Pd 2.67-2.82

Of them, arrangement 2 has the lowest stability.

Arrangement 1

# Cu7Pd2

A relaxed structure of Cu7Pd2 (PBE, the Alexandria database).

Lattice parameters (Å, degrees): 4.5772 4.5772 6.3788 90.00 90.00 120.00
Last column: nearest neighbours and their distance in Å.
Space group P-31m (No. 162)
Unique sites:
Cu 0.0000 0.0000 0.0000 (multiplicity 1)  6 Cu 2.64, 6 Pd 2.64
Cu 0.0000 0.3300 0.6602 (multiplicity 6)  10 Cu 2.54-2.66, 2 Pd 2.66
Pd 0.3333 0.6667 0.0000 (multiplicity 2)  9 Cu 2.64-2.66, 3 Pd 2.64

Arrangement 2

# Cu7Pd2

A relaxed structure of Cu7Pd2 (PBE, the Alexandria database).

Lattice parameters (Å, degrees): 4.7914 4.7914 36.6122 90.00 90.00 120.00
Last column: nearest neighbours and their distance in Å.
Space group R-3m (No. 166, hexagonal axes)
Unique sites:
Cu 0.0000 0.0000 0.0000 (multiplicity 3)  6 Cu 2.41
Cu 0.0000 0.0000 0.1105 (multiplicity 6)  9 Cu 2.48-2.77
Cu 0.0000 0.0000 0.2225 (multiplicity 6)  6 Cu 2.47-2.50
Cu 0.0000 0.5000 0.5000 (multiplicity 9)  8 Cu 2.40-2.48
Cu 0.0033 0.5016 0.3870 (multiplicity 18)  7 Cu 2.37-2.50
Pd 0.0000 0.0000 0.3473 (multiplicity 6)  12 Cu 2.80-2.83, 4 Pd 2.92-2.95
Pd 0.0000 0.0000 0.4271 (multiplicity 6)  12 Cu 2.81-2.84, 1 Pd 2.92

Of them, arrangement 2 has the lowest stability.

Arrangement 1

# Cu4Pd3

A relaxed structure of Cu4Pd3 (PBE, the Alexandria database).

Lattice parameters (Å, degrees): 11.2104 11.2104 5.2111 90.00 90.00 120.00
Last column: nearest neighbours and their distance in Å.
Space group R-3 (No. 148, hexagonal axes)
Unique sites:
Cu 0.0000 0.0000 0.0000 (multiplicity 3)  8 Cu 2.51-2.61
Cu 0.0000 0.0000 0.5000 (multiplicity 3)  6 Pd 2.60, 2 Cu 2.61
Cu 0.0449 0.8145 0.1576 (multiplicity 18)  1 Cu 2.51, 7 Pd 2.60-2.65
Pd 0.0464 0.8072 0.6590 (multiplicity 18)  8 Cu 2.60-2.65

Arrangement 2

# Cu4Pd3

A relaxed structure of Cu4Pd3 (PBE, the Alexandria database).

Lattice parameters (Å, degrees): 4.2868 4.2868 18.1449 90.00 90.00 120.00
Last column: nearest neighbours and their distance in Å.
Space group R-3m (No. 166, hexagonal axes)
Unique sites:
Cu 0.0000 0.0000 0.0689 (multiplicity 6)  4 Cu 2.50-2.59, 4 Pd 2.60-2.75
Cu 0.0000 0.0000 0.3596 (multiplicity 6)  2 Pd 2.52-2.55, 6 Cu 2.59-2.65
Pd 0.0000 0.0000 0.2207 (multiplicity 6)  5 Cu 2.52-2.75, 3 Pd 2.66
Pd 0.0000 0.0000 0.5000 (multiplicity 3)  2 Cu 2.55, 6 Pd 2.66

Of them, arrangement 2 has the lowest stability.